Entry 1:
This record from Alexandria describes a geometry-optimized RbGa8Cu6 structure. The functional is GGA-PBE.

Cell: 6.701 6.701 6.701 Å, 71.49 71.49 71.49°
Fractional coordinates of all 15 atoms:
Rb1 0.000 0.000 0.000
Ga1 0.149 0.474 0.776
Ga2 0.224 0.851 0.526
Ga3 0.228 0.228 0.228
Ga4 0.474 0.776 0.149
Ga5 0.526 0.224 0.851
Ga6 0.772 0.772 0.772
Ga7 0.776 0.149 0.474
Ga8 0.851 0.526 0.224
Cu1 0.171 0.559 0.366
Cu2 0.366 0.171 0.559
Cu3 0.441 0.634 0.829
Cu4 0.559 0.366 0.171
Cu5 0.634 0.829 0.441
Cu6 0.829 0.441 0.634

Calculated values
The total energy comes out at -48.709 eV per formula unit. The formation energy from the elements comes out at 0.07 eV per atom.


Entry 2:
This record from Alexandria describes a geometry-optimized Cu5Ni4Pt2 structure. The functional is GGA-PBE.

Cell: 5.125 5.125 6.598 Å, 93.43 93.43 55.25°
Fractional coordinates of all 11 atoms:
Cu1 0.000 0.000 0.000
Cu2 0.200 0.695 0.675
Cu3 0.305 0.800 0.325
Cu4 0.695 0.200 0.675
Cu5 0.800 0.305 0.325
Ni1 0.296 0.296 0.394
Ni2 0.374 0.374 0.054
Ni3 0.626 0.626 0.946
Ni4 0.704 0.704 0.606
Pt1 0.197 0.197 0.747
Pt2 0.803 0.803 0.253

Calculated values
The total energy comes out at -54.701 eV per formula unit. The formation energy from the elements comes out at 0.09 eV per atom.


Entry 3:
This record from Alexandria describes a geometry-optimized K3Zn structure. The functional is GGA-PBE.

Cell: 4.708 4.708 35.985 Å, 90.00 90.00 120.00°
Fractional coordinates of all 12 atoms:
K1 0.000 0.000 0.000
K2 0.000 0.000 0.228
K3 0.000 0.000 0.772
K4 0.333 0.667 0.439
K5 0.333 0.667 0.667
K6 0.333 0.667 0.894
K7 0.667 0.333 0.106
K8 0.667 0.333 0.333
K9 0.667 0.333 0.561
Zn1 0.000 0.000 0.500
Zn2 0.333 0.667 0.167
Zn3 0.667 0.333 0.833

Calculated values
The total energy comes out at -3.988 eV per formula unit. The formation energy from the elements comes out at 0.14 eV per atom.


Entry 4:
This record from Alexandria describes a geometry-optimized Rb2Fe2Pb structure. The functional is GGA-PBE.

Cell: 3.256 3.256 24.896 Å, 90.00 90.00 90.00°
Fractional coordinates of all 10 atoms:
Rb1 0.000 0.000 0.127
Rb2 0.000 0.000 0.873
Rb3 0.500 0.500 0.373
Rb4 0.500 0.500 0.627
Fe1 0.000 0.500 0.250
Fe2 0.000 0.500 0.750
Fe3 0.500 0.000 0.250
Fe4 0.500 0.000 0.750
Pb1 0.000 0.000 0.500
Pb2 0.500 0.500 0.000

Calculated values
The total energy comes out at -18.584 eV per formula unit. The formation energy from the elements comes out at 0.80 eV per atom.


Entry 5:
This record from Alexandria describes a geometry-optimized Cs3Na2Hg4Au2 structure. The functional is GGA-PBE.

Cell: 5.055 5.055 19.683 Å, 90.00 90.00 120.00°
Fractional coordinates of all 11 atoms:
Cs1 0.000 0.000 0.000
Cs2 0.000 0.000 0.256
Cs3 0.000 0.000 0.744
Na1 0.333 0.667 0.554
Na2 0.667 0.333 0.446
Hg1 0.333 0.667 0.385
Hg2 0.333 0.667 0.871
Hg3 0.667 0.333 0.129
Hg4 0.667 0.333 0.615
Au1 0.333 0.667 0.129
Au2 0.667 0.333 0.871

Calculated values
The total energy comes out at -15.331 eV per formula unit. The formation energy from the elements comes out at -0.22 eV per atom.


Entry 6:
This record from Alexandria describes a geometry-optimized ZrH3N structure. The functional is GGA-PBE.

Cell: 3.309 3.309 3.309 Å, 90.00 90.00 90.00°
Fractional coordinates of all 5 atoms:
Zr1 0.000 0.000 0.000
H1 0.000 0.500 0.500
H2 0.500 0.000 0.500
H3 0.500 0.500 0.000
N1 0.500 0.500 0.500

Calculated values
The total energy comes out at -23.339 eV per formula unit.


Entry 7:
This record from Alexandria describes a geometry-optimized As3Rh structure. The functional is GGA-PBE.

Cell: 3.020 11.151 4.666 Å, 90.00 90.00 90.00°
Fractional coordinates of all 8 atoms:
As1 0.000 0.000 0.000
As2 0.000 0.167 0.627
As3 0.000 0.833 0.627
As4 0.500 0.333 0.127
As5 0.500 0.500 0.500
As6 0.500 0.667 0.127
Rh1 0.000 0.500 0.927
Rh2 0.500 0.000 0.427

Calculated values
The total energy comes out at -21.430 eV per formula unit. The formation energy from the elements comes out at -0.03 eV per atom.


Entry 8:
This record from Alexandria describes a geometry-optimized Tl3AsSe structure. The functional is GGA-PBE.

Cell: 8.717 3.979 9.696 Å, 90.00 114.62 90.00°
Fractional coordinates of all 10 atoms:
Tl1 0.033 0.250 0.170
Tl2 0.201 0.750 0.564
Tl3 0.390 0.750 0.117
Tl4 0.610 0.250 0.883
Tl5 0.799 0.250 0.436
Tl6 0.967 0.750 0.830
As1 0.437 0.250 0.412
As2 0.563 0.750 0.588
Se1 0.245 0.250 0.833
Se2 0.755 0.750 0.167

Calculated values
The uncorrected formation energy is -4.23 kcal/mol of atoms. The total energy comes out at -16.150 eV per formula unit.